VASP calculation (PBE) on an optimized crystal structure of Hf2SnPd7.

## Properties
- E_form: -117 meV/atom
- Total DFT energy (no corrections): -6.14 eV per atom

a b c (Å): 7.2281 13.4530 4.3913
angles (deg): 90.00 90.00 90.00
Last column: nearest neighbours and their distance in Å.
Space group Cmmm (No. 65)
One atom of each set of equivalent atoms:
Hf: 0.0000 0.1995 0.0000 [4 per cell]  5 Pd 2.58-2.68
Sn: 0.0000 0.5000 0.5000 [2 per cell]  10 Pd 2.68-2.95
Pd: 0.0000 0.0000 0.0000 [2 per cell]  2 Hf 2.68, 4 Pd 2.70
Pd: 0.0000 0.3007 0.5000 [4 per cell]  2 Hf 2.58, 1 Sn 2.68, 4 Pd 2.85
Pd: 0.1852 0.3921 0.0000 [8 per cell]  1 Hf 2.59, 4 Pd 2.68-2.85